1.
First-principles (PBE) data for NbAgS2N after structural relaxation, as listed in Alexandria.

The calculation puts the uncorrected formation energy at 0.074 eV per atom. For the density of states at the Fermi level, the calculation gives 3.54 states/eV/f.u. The value obtained for the distance to the lowest polymorph of the same formula is 0.000 eV/atom.

CIF file:
```
data_NbAgS2N
_chemical_formula_sum 'Nb1 Ag1 S2 N1'
_cell_length_a 4.932
_cell_length_b 4.932
_cell_length_c 3.973
_cell_angle_alpha 90.00
_cell_angle_beta 90.00
_cell_angle_gamma 90.00
_space_group_name_H-M_alt 'P 1'
_space_group_IT_number 1
_space_group_name_Hall 'P 1'
loop_
_atom_site_label
_atom_site_fract_x
_atom_site_fract_y
_atom_site_fract_z
Ag1 0.500 0.500 0.500
N1 0.000 0.000 0.500
S1 0.500 0.000 0.000
S2 0.000 0.500 0.000
Nb1 0.000 0.000 0.000
```

2.
First-principles (PBE) data for NpSb2 after structural relaxation, as listed in Alexandria.

The calculation puts the uncorrected formation energy at -0.185 eV per atom. For the density of states at the Fermi level, the calculation gives 11.27 states/eV/f.u.

CIF file:
```
data_NpSb2
_chemical_formula_sum 'Np2 Sb4'
_cell_length_a 4.354
_cell_length_b 4.354
_cell_length_c 9.078
_cell_angle_alpha 103.87
_cell_angle_beta 103.87
_cell_angle_gamma 90.00
_space_group_name_H-M_alt 'P 1'
_space_group_IT_number 1
_space_group_name_Hall 'P 1'
loop_
_atom_site_label
_atom_site_fract_x
_atom_site_fract_y
_atom_site_fract_z
Np1 0.862 0.862 0.725
Np2 0.138 0.138 0.275
Sb1 0.000 0.500 0.000
Sb2 0.679 0.679 0.358
Sb3 0.500 0.000 0.000
Sb4 0.321 0.321 0.642
```

3.
First-principles (PBE) data for AlZnIn2 after structural relaxation, as listed in Alexandria.

For the density of states at the Fermi level, the calculation gives 2.94 states/eV/f.u. The value obtained for the formation energy is 0.23 eV/atom.

CIF file:
```
data_AlZnIn2
_chemical_formula_sum 'Al1 Zn1 In2'
_cell_length_a 5.011
_cell_length_b 5.011
_cell_length_c 5.011
_cell_angle_alpha 60.00
_cell_angle_beta 60.00
_cell_angle_gamma 60.00
_space_group_name_H-M_alt 'P 1'
_space_group_IT_number 1
_space_group_name_Hall 'P 1'
loop_
_atom_site_label
_atom_site_fract_x
_atom_site_fract_y
_atom_site_fract_z
Al1 0.500 0.500 0.500
Zn1 0.250 0.250 0.250
In1 0.000 0.000 0.000
In2 0.750 0.750 0.750
```

4.
First-principles (PBE) data for LiTb2Hg4 after structural relaxation, as listed in Alexandria.

For the density of states at the Fermi level, the calculation gives 4.12 states/eV/f.u. The value obtained for the distance to the lowest polymorph of the same formula is 0.000 eV/atom. The value obtained for the formation energy is -0.32 eV/atom.

CIF file:
```
data_LiTb2Hg4
_chemical_formula_sum 'Li1 Tb2 Hg4'
_cell_length_a 4.912
_cell_length_b 4.912
_cell_length_c 9.014
_cell_angle_alpha 74.19
_cell_angle_beta 74.19
_cell_angle_gamma 60.00
_space_group_name_H-M_alt 'P 1'
_space_group_IT_number 1
_space_group_name_Hall 'P 1'
loop_
_atom_site_label
_atom_site_fract_x
_atom_site_fract_y
_atom_site_fract_z
Tb1 0.250 0.250 0.251
Tb2 0.750 0.750 0.749
Hg1 0.871 0.871 0.387
Hg2 0.370 0.370 0.891
Hg3 0.630 0.630 0.109
Hg4 0.129 0.129 0.613
Li1 0.000 0.000 0.000
```

5.
First-principles (PBE) data for Th2ZnC after structural relaxation, as listed in Alexandria.

For the density of states at the Fermi level, the calculation gives 3.24 states/eV/f.u. The value obtained for the formation energy is -0.04 eV/atom.

CIF file:
```
data_Th2ZnC
_chemical_formula_sum 'Th4 Zn2 C2'
_cell_length_a 5.034
_cell_length_b 6.898
_cell_length_c 6.898
_cell_angle_alpha 63.79
_cell_angle_beta 68.60
_cell_angle_gamma 68.60
_space_group_name_H-M_alt 'P 1'
_space_group_IT_number 1
_space_group_name_Hall 'P 1'
loop_
_atom_site_label
_atom_site_fract_x
_atom_site_fract_y
_atom_site_fract_z
Th1 0.424 0.886 0.265
Th2 0.859 0.575 0.707
Th3 0.141 0.793 0.925
Th4 0.576 0.235 0.614
C1 0.630 0.862 0.879
C2 0.370 0.621 0.638
Zn1 0.169 0.345 0.317
Zn2 0.831 0.183 0.155
```

6.
First-principles (PBE) data for Cu3PdPt4 after structural relaxation, as listed in Alexandria.

For the density of states at the Fermi level, the calculation gives 8.05 states/eV/f.u. The value obtained for the distance to the lowest polymorph of the same formula is 0.000 eV/atom. The value obtained for the formation energy is -0.03 eV/atom.

CIF file:
```
data_Cu3PdPt4
_chemical_formula_sum 'Cu3 Pd1 Pt4'
_cell_length_a 4.486
_cell_length_b 4.724
_cell_length_c 6.318
_cell_angle_alpha 108.32
_cell_angle_beta 110.79
_cell_angle_gamma 90.00
_space_group_name_H-M_alt 'P 1'
_space_group_IT_number 1
_space_group_name_Hall 'P 1'
loop_
_atom_site_label
_atom_site_fract_x
_atom_site_fract_y
_atom_site_fract_z
Pt1 0.378 0.415 0.755
Pt2 0.247 0.810 0.494
Pt3 0.622 0.585 0.245
Pt4 0.753 0.190 0.506
Cu1 0.000 0.500 0.000
Cu2 0.131 0.191 0.261
Cu3 0.869 0.809 0.739
Pd1 0.500 0.000 0.000
```

7.
First-principles (PBE) data for KTl2RuPb after structural relaxation, as listed in Alexandria.

For the density of states at the Fermi level, the calculation gives 4.98 states/eV/f.u. The value obtained for the distance to the lowest polymorph of the same formula is 0.473 eV/atom. The value obtained for the formation energy is 0.59 eV/atom.

CIF file:
```
data_KTl2RuPb
_chemical_formula_sum 'K1 Tl2 Ru1 Pb1'
_cell_length_a 5.319
_cell_length_b 5.751
_cell_length_c 5.319
_cell_angle_alpha 90.00
_cell_angle_beta 90.00
_cell_angle_gamma 90.00
_space_group_name_H-M_alt 'P 1'
_space_group_IT_number 1
_space_group_name_Hall 'P 1'
loop_
_atom_site_label
_atom_site_fract_x
_atom_site_fract_y
_atom_site_fract_z
K1 0.000 0.500 0.000
Pb1 0.500 0.500 0.500
Ru1 0.000 0.000 0.000
Tl1 0.000 0.000 0.500
Tl2 0.500 0.000 0.000
```

8.
First-principles (PBE) data for Co2RuBr after structural relaxation, as listed in Alexandria.

The calculation puts the uncorrected formation energy at 0.641 eV per atom. For the density of states at the Fermi level, the calculation gives 4.61 states/eV/f.u. The value obtained for the distance to the lowest polymorph of the same formula is 0.115 eV/atom.

CIF file:
```
data_Co2RuBr
_chemical_formula_sum 'Co2 Ru1 Br1'
_cell_length_a 3.026
_cell_length_b 3.026
_cell_length_c 6.533
_cell_angle_alpha 90.00
_cell_angle_beta 90.00
_cell_angle_gamma 90.00
_space_group_name_H-M_alt 'P 1'
_space_group_IT_number 1
_space_group_name_Hall 'P 1'
loop_
_atom_site_label
_atom_site_fract_x
_atom_site_fract_y
_atom_site_fract_z
Co1 0.500 0.500 0.234
Co2 0.000 0.000 0.055
Ru1 0.000 0.000 0.458
Br1 0.500 0.500 0.753
```

9.
First-principles (PBE) data for AcSiBi2O8 after structural relaxation, as listed in Alexandria.

The calculation puts the uncorrected formation energy at -1.580 eV per atom. For the density of states at the Fermi level, the calculation gives 3.54 states/eV/f.u.

CIF file:
```
data_AcSiBi2O8
_chemical_formula_sum 'Ac1 Si1 Bi2 O8'
_cell_length_a 5.273
_cell_length_b 5.273
_cell_length_c 6.615
_cell_angle_alpha 90.00
_cell_angle_beta 90.00
_cell_angle_gamma 120.00
_space_group_name_H-M_alt 'P 1'
_space_group_IT_number 1
_space_group_name_Hall 'P 1'
loop_
_atom_site_label
_atom_site_fract_x
_atom_site_fract_y
_atom_site_fract_z
O1 0.159 0.318 0.153
O2 0.667 0.333 0.420
O3 0.841 0.682 0.847
O4 0.682 0.841 0.153
O5 0.159 0.841 0.153
O6 0.841 0.159 0.847
O7 0.333 0.667 0.580
O8 0.318 0.159 0.847
Si1 0.000 0.000 0.000
Bi1 0.333 0.667 0.892
Bi2 0.667 0.333 0.108
Ac1 0.000 0.000 0.500
```

10.
First-principles (PBE) data for MgSb2Rh after structural relaxation, as listed in Alexandria.

The calculation puts the uncorrected formation energy at 0.013 eV per atom. For the density of states at the Fermi level, the calculation gives 2.74 states/eV/f.u.

CIF file:
```
data_MgSb2Rh
_chemical_formula_sum 'Mg2 Sb4 Rh2'
_cell_length_a 6.315
_cell_length_b 6.315
_cell_length_c 7.521
_cell_angle_alpha 65.18
_cell_angle_beta 65.18
_cell_angle_gamma 90.00
_space_group_name_H-M_alt 'P 1'
_space_group_IT_number 1
_space_group_name_Hall 'P 1'
loop_
_atom_site_label
_atom_site_fract_x
_atom_site_fract_y
_atom_site_fract_z
Mg1 0.500 0.500 0.000
Mg2 0.250 0.750 0.500
Rh1 0.000 0.000 0.000
Rh2 0.750 0.250 0.500
Sb1 0.375 0.329 0.750
Sb2 0.079 0.625 0.250
Sb3 0.875 0.921 0.750
Sb4 0.671 0.125 0.250
```

11.
First-principles (PBE) data for RuCl3 after structural relaxation, as listed in Alexandria.

The calculation puts the uncorrected formation energy at -0.509 eV per atom. For the density of states at the Fermi level, the calculation gives 3.21 states/eV/f.u.

CIF file:
```
data_RuCl3
_chemical_formula_sum 'Ru6 Cl18'
_cell_length_a 6.075
_cell_length_b 6.075
_cell_length_c 19.163
_cell_angle_alpha 90.00
_cell_angle_beta 90.00
_cell_angle_gamma 120.00
_space_group_name_H-M_alt 'P 1'
_space_group_IT_number 1
_space_group_name_Hall 'P 1'
loop_
_atom_site_label
_atom_site_fract_x
_atom_site_fract_y
_atom_site_fract_z
Cl1 0.577 0.466 0.570
Cl2 0.889 0.132 0.097
Cl3 0.889 0.466 0.764
Cl4 0.222 0.466 0.430
Cl5 0.534 0.757 0.764
Cl6 0.244 0.132 0.236
Cl7 0.243 0.466 0.903
Cl8 0.889 0.423 0.236
Cl9 0.222 0.757 0.570
Cl10 0.868 0.756 0.430
Cl11 0.889 0.756 0.903
Cl12 0.577 0.111 0.430
Cl13 0.534 0.778 0.236
Cl14 0.244 0.111 0.764
Cl15 0.243 0.778 0.097
Cl16 0.534 0.423 0.097
Cl17 0.534 0.111 0.903
Cl18 0.868 0.111 0.570
Ru1 0.556 0.444 0.833
Ru2 0.222 0.778 0.833
Ru3 0.222 0.444 0.167
Ru4 0.556 0.111 0.167
Ru5 0.556 0.778 0.500
Ru6 0.889 0.444 0.500
```

12.
First-principles (PBE) data for SrV2Ru after structural relaxation, as listed in Alexandria.

For the density of states at the Fermi level, the calculation gives 4.27 states/eV/f.u. The value obtained for the distance to the lowest polymorph of the same formula is 0.000 eV/atom. The value obtained for the formation energy is 0.83 eV/atom.

CIF file:
```
data_SrV2Ru
_chemical_formula_sum 'Sr1 V2 Ru1'
_cell_length_a 4.645
_cell_length_b 4.645
_cell_length_c 4.645
_cell_angle_alpha 60.00
_cell_angle_beta 60.00
_cell_angle_gamma 60.00
_space_group_name_H-M_alt 'P 1'
_space_group_IT_number 1
_space_group_name_Hall 'P 1'
loop_
_atom_site_label
_atom_site_fract_x
_atom_site_fract_y
_atom_site_fract_z
V1 0.750 0.750 0.750
V2 0.250 0.250 0.250
Ru1 0.500 0.500 0.500
Sr1 0.000 0.000 0.000
```